A geometry-optimized Ho4ErTm2Sc structure, computed with PBE.

Cell and atoms, written as extended XYZ:
```
8
Lattice="4.9246 0.0000 0.0000 0.0000 4.9246 0.0000 0.0000 0.0000 9.8256" Properties=species:S:1:pos:R:3 pbc="T T T"
Ho 0.0000 2.4623 2.4138
Ho 0.0000 2.4623 7.4118
Ho 2.4623 0.0000 2.4138
Ho 2.4623 0.0000 7.4118
Er 0.0000 0.0000 4.9128
Tm 0.0000 0.0000 0.0000
Tm 2.4623 2.4623 4.9128
Sc 2.4623 2.4623 0.0000
```

Calculated values
Crystal system = tetragonal
Space-group type = P4/mmm, No. 123
Total magnetization = 0.00 μB/f.u.
Total energy = -37.88 eV/cell

***

A geometry-optimized HoEr3Tm6Sc2 structure, computed with PBE.

Cell and atoms, written as extended XYZ:
```
12
Lattice="2.9965 -5.1850 0.0000 2.9965 5.1850 0.0000 -1.9917 0.0000 11.2867" Properties=species:S:1:pos:R:3 pbc="T T T"
Ho 0.0000 0.0000 0.0000
Er 2.0006 3.4541 5.6434
Er 2.0006 0.0000 5.6434
Er 2.0006 -3.4541 5.6434
Tm 1.0081 1.7383 2.7696
Tm 0.0149 0.0000 8.5184
Tm 1.0081 -1.7383 2.7696
Tm 2.9932 1.7383 8.5171
Tm 3.9864 0.0000 2.7683
Tm 2.9932 -1.7383 8.5171
Sc 2.9965 1.7292 0.0000
Sc 2.9965 -1.7292 0.0000
```

Calculated values
Crystal system = monoclinic
Space-group type = C2/m, No. 12
Total magnetization = 0.00 μB/f.u.
Total energy = -57.29 eV/cell

***

A geometry-optimized Ho2Er5TmSc structure, computed with PBE.

Cell and atoms, written as extended XYZ:
```
18
Lattice="2.7326 -9.8595 0.0000 2.7326 9.8595 0.0000 0.0000 0.0000 10.2559" Properties=species:S:1:pos:R:3 pbc="T T T"
Ho 2.7326 7.6666 5.1280
Ho 2.7326 7.6146 9.4790
Ho 2.7326 -7.6146 4.3511
Ho 2.7326 -7.6666 0.0000
Er 2.7326 9.5160 2.1025
Er 2.7326 4.4275 5.1990
Er 2.7326 3.9334 9.1510
Er 2.7326 2.4177 2.1388
Er 2.7326 0.3547 9.5110
Er 2.7326 -0.3547 4.3830
Er 2.7326 -2.4177 7.2667
Er 2.7326 -3.9334 4.0230
Er 2.7326 -4.4275 0.0710
Er 2.7326 -9.5160 7.2305
Tm 2.7326 1.8010 6.6082
Tm 2.7326 -1.8010 1.4802
Sc 2.7326 6.0059 2.0733
Sc 2.7326 -6.0059 7.2013
```

Calculated values
Crystal system = orthorhombic
Space-group type = Cmc2_1, No. 36
Total magnetization = 0.00 μB/f.u.
Total energy = -82.55 eV/cell

***

A geometry-optimized Ho2Er6TmSc3 structure, computed with PBE.

Cell and atoms, written as extended XYZ:
```
12
Lattice="2.9945 -5.1828 0.0000 2.9945 5.1828 0.0000 -1.9954 0.0000 11.2086" Properties=species:S:1:pos:R:3 pbc="T T T"
Ho 2.9945 3.4547 0.0000
Ho 2.9945 -3.4547 0.0000
Er -0.0013 1.7270 8.3152
Er 1.0016 0.0000 2.8937
Er -0.0013 -1.7270 8.3152
Er 3.9950 1.7270 2.8934
Er 2.9921 0.0000 8.3149
Er 3.9950 -1.7270 2.8934
Tm 2.9945 0.0000 0.0000
Sc -0.9977 0.0000 5.6043
Sc 1.9968 1.7282 5.6043
Sc 1.9968 -1.7282 5.6043
```

Calculated values
Crystal system = monoclinic
Space-group type = C2/m, No. 12
Total magnetization = 0.00 μB/f.u.
Total energy = -59.48 eV/cell